(1)
Entry from Alexandria via LeMat-Bulk: a PBEsol-optimized structure of Y5Ir3 (SCAN).

Cell and atoms, written as POSCAR:
```
Y5Ir3
1.0
6.124 0.000 0.000
0.000 8.225 0.000
0.000 -4.113 7.123
Y Ir
10 6
Cartesian
1.531 6.086 0.000
3.062 0.000 4.749
1.531 -3.043 5.270
4.593 -1.070 1.853
0.000 4.113 2.374
1.531 1.070 1.853
0.000 0.000 4.749
3.062 4.113 2.374
4.593 3.043 5.270
4.593 2.140 0.000
1.531 2.508 4.344
4.593 1.604 2.779
4.593 -2.508 4.344
4.593 5.016 0.000
1.531 -1.604 2.779
1.531 3.209 0.000
```

E_tot: -719.4 eV per cell
space group: P6_3/mcm
formation energy: -901 meV per atom
energy above the most stable polymorph in this dataset: 0.47 eV/f.u.

---

(2)
Entry from Alexandria via LeMat-Bulk: a PBEsol-optimized structure of Y5Ir (SCAN).

Cell and atoms, written as POSCAR:
```
Y5Ir
1.0
5.788 0.000 0.000
0.000 5.764 0.000
0.000 -2.882 4.992
Y Ir
5 1
Cartesian
2.894 2.882 0.000
0.000 0.000 3.328
2.894 -1.441 2.496
0.000 2.882 1.664
2.894 1.441 2.496
0.000 0.000 0.000
```

E_tot: -205.2 eV per cell
space group: P6/mmm
formation energy: 857 meV per atom
energy above the most stable polymorph in this dataset: 7.32 eV/f.u.

---

(3)
Entry from Alexandria via LeMat-Bulk: a PBEsol-optimized structure of YIr2 (SCAN).

Cell and atoms, written as POSCAR:
```
YIr2
1.0
3.680 0.000 0.000
0.000 3.680 0.000
0.000 0.000 4.490
Y Ir
1 2
Cartesian
0.000 0.000 0.000
1.840 0.000 2.245
0.000 1.840 2.245
```

E_tot: -170.9 eV per cell
space group: P4/mmm
formation energy: -294 meV per atom

---

Repeat the second record exactly.
Entry from Alexandria via LeMat-Bulk: a PBEsol-optimized structure of Y5Ir (SCAN).

Cell and atoms, written as POSCAR:
```
Y5Ir
1.0
5.788 0.000 0.000
0.000 5.764 0.000
0.000 -2.882 4.992
Y Ir
5 1
Cartesian
2.894 2.882 0.000
0.000 0.000 3.328
2.894 -1.441 2.496
0.000 2.882 1.664
2.894 1.441 2.496
0.000 0.000 0.000
```

E_tot: -205.2 eV per cell
space group: P6/mmm
formation energy: 857 meV per atom
energy above the most stable polymorph in this dataset: 7.32 eV/f.u.

---

Question: formation energy of number 1 (Y5Ir3)?
Answer: -901 meV per atom

---

Question: What is the E_tot in the first record?
Answer: -719.4 eV per cell

---

Please write out number 1 again, unchanged.
Entry from Alexandria via LeMat-Bulk: a PBEsol-optimized structure of Y5Ir3 (SCAN).

Cell and atoms, written as POSCAR:
```
Y5Ir3
1.0
6.124 0.000 0.000
0.000 8.225 0.000
0.000 -4.113 7.123
Y Ir
10 6
Cartesian
1.531 6.086 0.000
3.062 0.000 4.749
1.531 -3.043 5.270
4.593 -1.070 1.853
0.000 4.113 2.374
1.531 1.070 1.853
0.000 0.000 4.749
3.062 4.113 2.374
4.593 3.043 5.270
4.593 2.140 0.000
1.531 2.508 4.344
4.593 1.604 2.779
4.593 -2.508 4.344
4.593 5.016 0.000
1.531 -1.604 2.779
1.531 3.209 0.000
```

E_tot: -719.4 eV per cell
space group: P6_3/mcm
formation energy: -901 meV per atom
energy above the most stable polymorph in this dataset: 0.47 eV/f.u.